# 1
Here is TlNi2Pt2 after structural relaxation from the Alexandria database. Energies are from PBE.

It has space group I4/mmm (No. 139), with a = 3.793 Å, b = 3.793 Å, c = 11.629 Å, α = 90.00°, β = 90.00° and γ = 90.00°. Symmetry generates all atoms from Tl at (0.000, 0.000, 0.000), Ni at (0.000, 0.000, 0.399) and Pt at (0.000, 0.500, 0.250).

The calculation puts the volume at 84 Å³/f.u.

=====

# 2
Here is TlNiPt2 after structural relaxation from the Alexandria database. Energies are from PBE.

It has space group I-42d (No. 122), with a = 3.878 Å, b = 3.878 Å, c = 18.869 Å, α = 90.00°, β = 90.00° and γ = 90.00°. Symmetry generates all atoms from Tl at (0.000, 0.000, 0.000), Ni at (0.000, 0.000, 0.500) and Pt at (0.230, 0.250, 0.625).

The calculation puts the volume at 71 Å³/f.u.

=====

# 3
Here is TlNiPt2 after structural relaxation from the Alexandria database. Energies are from PBE.

It has space group P2/m (No. 10), with a = 2.972 Å, b = 3.681 Å, c = 5.969 Å, α = 90.00°, β = 90.18° and γ = 90.00°. Symmetry generates all atoms from Tl at (0.000, 0.000, 0.000), Ni at (0.000, 0.000, 0.500) and Pt at (0.500, 0.500, 0.276).

The calculation puts the volume at 65 Å³/f.u.

=====

# 4
Here is Tl2NiPt after structural relaxation from the Alexandria database. Energies are from PBE.

It has space group Pm (No. 6), with a = 3.846 Å, b = 4.059 Å, c = 5.481 Å, α = 90.00°, β = 110.30° and γ = 90.00°. Symmetry generates all atoms from Tl at (0.000, 0.000, 0.000), Tl at (0.298, 0.500, 0.602), Ni at (0.567, 0.500, 0.139) and Pt at (0.714, 0.000, 0.432).

The calculation puts the volume at 80 Å³/f.u.

=====

# 5
Here is TlNiPt2 after structural relaxation from the Alexandria database. Energies are from PBE.

It has space group Cm (No. 8), with a = 9.046 Å, b = 3.004 Å, c = 4.956 Å, α = 90.00°, β = 101.98° and γ = 90.00°. Symmetry generates all atoms from Tl at (0.000, 0.000, 0.000), Ni at (0.253, 0.000, 0.725), Pt at (0.012, 0.500, 0.522) and Pt at (0.258, 0.500, 0.268).

The calculation puts the volume at 66 Å³/f.u.

=====

# 6
Here is Tl2NiPt after structural relaxation from the Alexandria database. Energies are from PBE.

It has space group Imm2 (No. 44), with a = 3.066 Å, b = 4.377 Å, c = 11.775 Å, α = 90.00°, β = 90.00° and γ = 90.00°. Symmetry generates all atoms from Tl at (0.000, 0.000, 0.000), Tl at (0.000, 0.500, 0.222), Ni at (0.000, 0.000, 0.517) and Pt at (0.000, 0.500, 0.831).

The calculation puts the volume at 79 Å³/f.u.

=====

# 7
Here is TmTlNiPt after structural relaxation from the Alexandria database. Energies are from PBE.

It has space group F-43m (No. 216), with a = 6.683 Å, b = 6.683 Å, c = 6.683 Å, α = 90.00°, β = 90.00° and γ = 90.00°. Symmetry generates all atoms from Tm at (0.000, 0.000, 0.000), Tl at (0.000, 0.000, 0.500), Ni at (0.250, 0.250, 0.750) and Pt at (0.250, 0.250, 0.250).

The calculation puts the volume at 75 Å³/f.u.

=====

# 8
Here is TlNi2PtW after structural relaxation from the Alexandria database. Energies are from PBE.

It has space group P4/mmm (No. 123), with a = 4.620 Å, b = 4.620 Å, c = 4.935 Å, α = 90.00°, β = 90.00° and γ = 90.00°. Symmetry generates all atoms from Tl at (0.000, 0.000, 0.000), Ni at (0.000, 0.500, 0.500), Pt at (0.500, 0.500, 0.000) and W at (0.500, 0.500, 0.500).

The calculation puts the volume at 105 Å³/f.u.

=====

| no. | energy of formation (eV per formula unit) |
| --- | --- |
| 1 | 1.1 |
| 2 | 1.0 |
| 3 | 0.3 |
| 4 | 0.4 |
| 5 | 0.4 |
| 6 | 0.6 |
| 7 | -1.9 |
| 8 | 5.5 |